Entry 1:
K2MnAl, optimized geometry, DFT PBE; magnetization = 4.227 μB per formula unit; VASP energy = -11.9 eV/cell
1.0
5.801 0.000 0.000
0.000 3.165 0.595
0.000 1.740 7.138
K Al Mn
2 1 1
Direct
0.000 0.008 0.997 K
0.000 0.492 0.503 K
0.500 0.750 0.750 Al
0.500 0.250 0.250 Mn

Entry 2:
K2MnAl, optimized geometry, DFT PBE; magnetization = 3.316 μB per formula unit; VASP energy = -13.6 eV/cell
1.0
3.965 0.000 0.000
0.000 3.322 0.111
0.000 1.344 10.354
Al K Mn
1 2 1
Direct
0.500 0.742 0.637 Al
0.000 0.095 0.928 K
0.500 0.408 0.323 K
0.000 0.254 0.612 Mn

Entry 3:
KMn2Al, optimized geometry, DFT PBE; magnetization = 7.411 μB per formula unit; VASP energy = -19.4 eV/cell
1.0
-0.929 1.500 4.898
1.203 -5.020 0.676
2.838 0.723 0.317
K Mn Al
1 2 1
Direct
0.000 0.500 0.500 K
0.500 0.500 0.000 Mn
0.000 0.000 0.000 Mn
0.500 0.000 0.500 Al

Entry 4:
KMnAlMo2, optimized geometry, DFT PBE; magnetization = 2.078 μB per formula unit; VASP energy = -23.9 eV/cell
1.0
-3.119 -2.370 2.534
-0.754 -3.186 -3.908
3.400 -2.766 1.598
Al Mo K Mn
1 2 1 1
Direct
0.000 0.000 0.000 Al
0.000 0.000 0.500 Mo
0.500 0.000 0.000 Mo
0.000 0.500 0.000 K
0.500 0.500 0.500 Mn